Here is an optimized crystal structure of TcBPO2 from Alexandria via LeMat-Bulk. Energies are from GGA-PBE.

Results
uncorrected formation energy	-27	meV per atom
magnetization	0.33	Bohr magnetons per cell

```
5
Lattice="3.1543 0.0000 0.0000 0.0000 7.5041 0.0000 0.0000 0.0000 3.1543" Properties=species:S:1:pos:R:3 pbc="T T T"
P 0.0000 3.7520 0.0000
B 0.0000 0.0000 0.0000
Tc 1.5771 3.7520 1.5771
O 0.0000 0.0000 1.5771
O 1.5771 0.0000 0.0000
```

=====

Here is an optimized crystal structure of TcBPO2 from Alexandria via LeMat-Bulk. Energies are from GGA-PBE.

Results
uncorrected formation energy	74	meV per atom
magnetization	0.00	Bohr magnetons per cell

```
5
Lattice="-0.7221 3.5974 -0.1788 -3.1796 -0.5510 1.7552 2.4061 0.7107 4.5817" Properties=species:S:1:pos:R:3 pbc="T T T"
P 1.2030 0.3553 2.2909
B -0.7478 1.8785 3.0791
Tc 0.0000 0.0000 0.0000
O -1.5898 -0.2755 0.8776
O -0.3611 1.7987 -0.0894
```

=====

Here is an optimized crystal structure of ThBP2O8 from Alexandria via LeMat-Bulk. Energies are from GGA-PBE.

Results
uncorrected formation energy	-2066	meV per atom
magnetization	0.85	Bohr magnetons per cell

```
12
Lattice="4.9116 0.0000 0.0000 -2.4558 4.2536 0.0000 0.0000 0.0000 6.5272" Properties=species:S:1:pos:R:3 pbc="T T T"
Th 0.0000 0.0000 3.2636
B 0.0000 0.0000 0.0000
P 0.0000 2.8357 5.0319
P 2.4558 1.4179 1.4953
O 0.0000 1.3500 5.4622
O -1.2866 3.5785 5.4622
O 1.2866 3.5785 5.4622
O 1.1691 0.6750 1.0650
O 2.4558 1.4179 3.0560
O 0.0000 2.8357 3.4712
O 2.4558 2.9035 1.0650
O 3.7424 0.6750 1.0650
```

=====

Here is an optimized crystal structure of TlBPO2 from Alexandria via LeMat-Bulk. Energies are from GGA-PBE.

Results
uncorrected formation energy	1418	meV per atom
magnetization	0.90	Bohr magnetons per cell

```
5
Lattice="-3.8499 -0.4685 1.0193 1.0972 -0.8144 3.7700 -0.3415 5.7046 1.3318" Properties=species:S:1:pos:R:3 pbc="T T T"
P -0.1708 2.8523 0.6659
Tl 0.0000 0.0000 0.0000
B -1.5471 2.2109 3.0605
O 0.5486 -0.4072 1.8850
O -1.9250 -0.2342 0.5096
```

=====

Here is an optimized crystal structure of TlBPO2 from Alexandria via LeMat-Bulk. Energies are from GGA-PBE.

Results
uncorrected formation energy	229	meV per atom
magnetization	0.00	Bohr magnetons per cell

```
5
Lattice="3.5695 0.0000 0.0000 0.0000 3.5695 0.0000 0.0000 0.0000 4.6674" Properties=species:S:1:pos:R:3 pbc="T T T"
P 0.0000 0.0000 2.3337
Tl 1.7847 1.7847 2.3337
B 0.0000 0.0000 0.0000
O 0.0000 1.7847 0.0000
O 1.7847 0.0000 0.0000
```

=====

Here is an optimized crystal structure of TmBP2O8 from Alexandria via LeMat-Bulk. Energies are from GGA-PBE.

Results
uncorrected formation energy	-2213	meV per atom
magnetization	0.00	Bohr magnetons per cell

```
12
Lattice="-4.4259 -1.9633 -0.4199 3.5638 -2.4845 2.1787 -1.5726 2.4079 5.3181" Properties=species:S:1:pos:R:3 pbc="T T T"
Tm -0.7863 1.2039 2.6590
B 0.0000 0.0000 0.0000
P -0.2848 -0.4959 5.3209
P -2.1500 -1.5440 1.7560
O -0.8731 0.8962 5.0123
O 1.0061 -0.4138 6.1612
O -1.3277 -1.4491 5.9398
O -1.1071 -0.5908 1.1372
O -2.5496 -0.9323 3.1073
O 0.1148 -1.1077 3.9697
O -1.5618 -2.9361 2.0646
O -3.4409 -1.6261 0.9158
```